## BaAg2Pb4 (GGA-PBE)

Data for BaAg2Pb4 after structural relaxation.

Its crystal system is orthorhombic. For the formation energy, the calculation gives -0.184 eV/atom.

abc: 20.802 4.946 8.024
angles: 90.00 90.00 90.00
Positions (direct):
Ba 0.144 0.250 0.010
Ba 0.356 0.750 0.510
Ba 0.644 0.250 0.490
Ba 0.856 0.750 0.990
Ag 0.043 0.750 0.247
Ag 0.217 0.250 0.509
Ag 0.283 0.750 0.009
Ag 0.457 0.250 0.747
Ag 0.543 0.750 0.253
Ag 0.717 0.250 0.991
Ag 0.783 0.750 0.491
Ag 0.957 0.250 0.753
Pb 0.029 0.750 0.853
Pb 0.067 0.250 0.495
Pb 0.186 0.750 0.709
Pb 0.187 0.750 0.309
Pb 0.313 0.250 0.809
Pb 0.314 0.250 0.209
Pb 0.433 0.750 0.995
Pb 0.471 0.250 0.353
Pb 0.529 0.750 0.647
Pb 0.567 0.250 0.005
Pb 0.686 0.750 0.791
Pb 0.687 0.750 0.191
Pb 0.813 0.250 0.691
Pb 0.814 0.250 0.291
Pb 0.933 0.750 0.505
Pb 0.971 0.250 0.147

## Si2WSe (GGA-PBE)

Data for Si2WSe after structural relaxation.

Its crystal system is monoclinic.

abc: 6.516 3.327 7.122
angles: 90.00 90.36 90.00
Positions (direct):
Si 0.000 0.000 0.000
Si 0.128 0.500 0.764
Si 0.291 0.000 0.273
Si 0.535 0.500 0.172
W 0.378 0.000 0.925
W 0.735 0.500 0.884
Se 0.068 0.500 0.422
Se 0.622 0.000 0.637

## Hf12Ti3Ga5 (GGA-PBE)

Data for Hf12Ti3Ga5 after structural relaxation.

Its crystal system is cubic. For the formation energy, the calculation gives 0.662 eV/atom.

abc: 13.783 13.783 13.783
angles: 109.47 109.47 109.47
Positions (direct):
Hf 0.064 0.226 0.135
Hf 0.064 0.337 0.929
Hf 0.071 0.635 0.408
Hf 0.071 0.936 0.663
Hf 0.092 0.726 0.663
Hf 0.092 0.865 0.429
Hf 0.135 0.064 0.226
Hf 0.135 0.571 0.908
Hf 0.163 0.226 0.592
Hf 0.163 0.436 0.571
Hf 0.226 0.135 0.064
Hf 0.226 0.592 0.163
Hf 0.274 0.337 0.908
Hf 0.274 0.436 0.365
Hf 0.337 0.908 0.274
Hf 0.337 0.929 0.064
Hf 0.365 0.274 0.436
Hf 0.365 0.592 0.929
Hf 0.408 0.071 0.635
Hf 0.408 0.837 0.774
Hf 0.429 0.092 0.865
Hf 0.429 0.837 0.564
Hf 0.436 0.365 0.274
Hf 0.436 0.571 0.163
Hf 0.564 0.429 0.837
Hf 0.564 0.635 0.726
Hf 0.571 0.163 0.436
Hf 0.571 0.908 0.135
Hf 0.592 0.163 0.226
Hf 0.592 0.929 0.365
Hf 0.635 0.408 0.071
Hf 0.635 0.726 0.564
Hf 0.663 0.071 0.936
Hf 0.663 0.092 0.726
Hf 0.726 0.564 0.635
Hf 0.726 0.663 0.092
Hf 0.774 0.408 0.837
Hf 0.774 0.865 0.936
Hf 0.837 0.564 0.429
Hf 0.837 0.774 0.408
Hf 0.865 0.429 0.092
Hf 0.865 0.936 0.774
Hf 0.908 0.135 0.571
Hf 0.908 0.274 0.337
Hf 0.929 0.064 0.337
Hf 0.929 0.365 0.592
Hf 0.936 0.663 0.071
Hf 0.936 0.774 0.865
Ti 0.125 0.250 0.375
Ti 0.125 0.375 0.750
Ti 0.250 0.375 0.125
Ti 0.250 0.875 0.625
Ti 0.375 0.125 0.250
Ti 0.375 0.750 0.125
Ti 0.625 0.250 0.875
Ti 0.625 0.875 0.750
Ti 0.750 0.125 0.375
Ti 0.750 0.625 0.875
Ti 0.875 0.625 0.250
Ti 0.875 0.750 0.625
Ga 0.000 0.000 0.000
Ga 0.000 0.000 0.500
Ga 0.000 0.500 0.000
Ga 0.000 0.500 0.500
Ga 0.125 0.750 0.875
Ga 0.125 0.875 0.250
Ga 0.250 0.125 0.875
Ga 0.250 0.625 0.375
Ga 0.375 0.250 0.625
Ga 0.375 0.625 0.750
Ga 0.500 0.000 0.000
Ga 0.500 0.000 0.500
Ga 0.500 0.500 0.000
Ga 0.500 0.500 0.500
Ga 0.625 0.375 0.250
Ga 0.625 0.750 0.375
Ga 0.750 0.375 0.625
Ga 0.750 0.875 0.125
Ga 0.875 0.125 0.750
Ga 0.875 0.250 0.125

no.,E_tot (eV per atom),ρ (g/cm3)
1,-3.392,9.51
2,-6.777,6.86
3,-7.251,8.68